Material: SiMoOs2I
Method: DFT, PBE
State: relaxed

Summary:
Fermi-level density of states: 6.4 states/eV per cell
Calculated total energy: -5.34 eV/atom
Uncorrected formation energy: 2.71 eV/atom

Structure (POSCAR):
```
SiMoOs2I
1.0
4.809 0.000 0.000
0.000 4.809 0.000
0.000 0.000 4.916
Si Mo Os I
1 1 2 1
Cartesian
0.000 0.000 0.000
2.405 2.405 0.000
0.000 2.405 2.458
2.405 0.000 2.458
2.405 2.405 2.458
```